(1)
## Sc2RuBr (GGA-PBE)

Data for crystalline Sc2RuBr at its relaxed geometry.

Geometry as CIF:
```
data_Sc2RuBr
_chemical_formula_sum 'Sc2 Ru1 Br1'
_space_group_name_H-M_alt 'P 1'
_space_group_IT_number 1
_space_group_name_Hall 'P 1'
_cell_length_a 8.205
_cell_length_b 8.205
_cell_length_c 8.205
_cell_angle_alpha 24.10
_cell_angle_beta 24.10
_cell_angle_gamma 24.10
loop_
_atom_site_label
_atom_site_type_symbol
_atom_site_fract_x
_atom_site_fract_y
_atom_site_fract_z
Sc1 Sc 0.009 0.009 0.009
Br1 Br 0.250 0.250 0.250
Ru1 Ru 0.750 0.750 0.750
Sc2 Sc 0.491 0.491 0.491
```

Space-group type: R-3m, No. 166
Offset from the most stable computed form in eV per atom: 0.138
VASP energy in eV/atom: -6.57
Raw formation energy in kJ per mole of atoms: -64.0

(2)
## Sc2RuBr (GGA-PBE)

Data for crystalline Sc2RuBr at its relaxed geometry.

Geometry as CIF:
```
data_Sc2RuBr
_chemical_formula_sum 'Sc2 Ru1 Br1'
_space_group_name_H-M_alt 'P 1'
_space_group_IT_number 1
_space_group_name_Hall 'P 1'
_cell_length_a 3.240
_cell_length_b 3.240
_cell_length_c 7.727
_cell_angle_alpha 90.00
_cell_angle_beta 90.00
_cell_angle_gamma 90.11
loop_
_atom_site_label
_atom_site_type_symbol
_atom_site_fract_x
_atom_site_fract_y
_atom_site_fract_z
Ru1 Ru 0.500 0.500 0.750
Sc1 Sc 0.000 0.000 0.952
Br1 Br 0.500 0.500 0.250
Sc2 Sc 0.000 0.000 0.548
```

Space-group type: Cmmm, No. 65
Offset from the most stable computed form in eV per atom: 0.064
VASP energy in eV/atom: -6.64
Raw formation energy in kJ per mole of atoms: -71.1

(3)
## Sc2RuBr (GGA-PBE)

Data for crystalline Sc2RuBr at its relaxed geometry.

Geometry as CIF:
```
data_Sc2RuBr
_chemical_formula_sum 'Sc2 Ru1 Br1'
_space_group_name_H-M_alt 'P 1'
_space_group_IT_number 1
_space_group_name_Hall 'P 1'
_cell_length_a 7.765
_cell_length_b 7.765
_cell_length_c 7.765
_cell_angle_alpha 153.57
_cell_angle_beta 155.45
_cell_angle_gamma 36.38
loop_
_atom_site_label
_atom_site_type_symbol
_atom_site_fract_x
_atom_site_fract_y
_atom_site_fract_z
Ru1 Ru 0.198 0.698 0.500
Sc1 Sc 0.076 0.076 0.000
Sc2 Sc 0.778 0.278 0.500
Br1 Br 0.447 0.447 0.000
```

Space-group type: Imm2, No. 44
Offset from the most stable computed form in eV per atom: 0.188
VASP energy in eV/atom: -6.52
Raw formation energy in kJ per mole of atoms: -59.1

(4)
## Sc2RuBr (GGA-PBE)

Data for crystalline Sc2RuBr at its relaxed geometry.

Geometry as CIF:
```
data_Sc2RuBr
_chemical_formula_sum 'Sc2 Ru1 Br1'
_space_group_name_H-M_alt 'P 1'
_space_group_IT_number 1
_space_group_name_Hall 'P 1'
_cell_length_a 4.854
_cell_length_b 4.854
_cell_length_c 4.854
_cell_angle_alpha 128.93
_cell_angle_beta 112.71
_cell_angle_gamma 89.17
loop_
_atom_site_label
_atom_site_type_symbol
_atom_site_fract_x
_atom_site_fract_y
_atom_site_fract_z
Ru1 Ru 0.250 0.750 0.500
Br1 Br 0.750 0.250 0.500
Sc1 Sc 0.013 0.013 0.000
Sc2 Sc 0.487 0.487 0.000
```

Space-group type: Immm, No. 71
Offset from the most stable computed form in eV per atom: 0.543
VASP energy in eV/atom: -6.16
Raw formation energy in kJ per mole of atoms: -24.9

(5)
## Sc2RuBr (GGA-PBE)

Data for crystalline Sc2RuBr at its relaxed geometry.

Geometry as CIF:
```
data_Sc2RuBr
_chemical_formula_sum 'Sc2 Ru1 Br1'
_space_group_name_H-M_alt 'P 1'
_space_group_IT_number 1
_space_group_name_Hall 'P 1'
_cell_length_a 3.209
_cell_length_b 3.209
_cell_length_c 9.249
_cell_angle_alpha 90.00
_cell_angle_beta 90.00
_cell_angle_gamma 111.25
loop_
_atom_site_label
_atom_site_type_symbol
_atom_site_fract_x
_atom_site_fract_y
_atom_site_fract_z
Br1 Br 0.000 0.000 0.472
Sc1 Sc 0.000 0.000 0.975
Ru1 Ru 0.500 0.500 0.791
Sc2 Sc 0.500 0.500 0.262
```

Space-group type: Cmm2, No. 35
Offset from the most stable computed form in eV per atom: 0.705
VASP energy in eV/atom: -6.00
Raw formation energy in kJ per mole of atoms: -9.3

(6)
## Sc2RuBr (GGA-PBE)

Data for crystalline Sc2RuBr at its relaxed geometry.

Geometry as CIF:
```
data_Sc2RuBr
_chemical_formula_sum 'Sc2 Ru1 Br1'
_space_group_name_H-M_alt 'P 1'
_space_group_IT_number 1
_space_group_name_Hall 'P 1'
_cell_length_a 3.756
_cell_length_b 3.756
_cell_length_c 6.027
_cell_angle_alpha 90.00
_cell_angle_beta 90.00
_cell_angle_gamma 90.00
loop_
_atom_site_label
_atom_site_type_symbol
_atom_site_fract_x
_atom_site_fract_y
_atom_site_fract_z
Sc1 Sc 0.500 0.500 0.271
Br1 Br 0.000 0.000 0.434
Sc2 Sc 0.000 0.000 0.919
Ru1 Ru 0.500 0.500 0.875
```

Space-group type: P4mm, No. 99
Offset from the most stable computed form in eV per atom: 0.357
VASP energy in eV/atom: -6.35
Raw formation energy in kJ per mole of atoms: -42.8

(7)
## Sc2RuBr (GGA-PBE)

Data for crystalline Sc2RuBr at its relaxed geometry.

Geometry as CIF:
```
data_Sc2RuBr
_chemical_formula_sum 'Sc2 Ru1 Br1'
_space_group_name_H-M_alt 'P 1'
_space_group_IT_number 1
_space_group_name_Hall 'P 1'
_cell_length_a 3.254
_cell_length_b 3.322
_cell_length_c 7.801
_cell_angle_alpha 90.10
_cell_angle_beta 90.00
_cell_angle_gamma 90.00
loop_
_atom_site_label
_atom_site_type_symbol
_atom_site_fract_x
_atom_site_fract_y
_atom_site_fract_z
Sc1 Sc 0.000 0.249 0.553
Sc2 Sc 0.000 0.251 0.947
Ru1 Ru 0.500 0.750 0.750
Br1 Br 0.500 0.250 0.250
```

Space-group type: P2/m, No. 10
Offset from the most stable computed form in eV per atom: 0.000
VASP energy in eV/atom: -6.70
Raw formation energy in kJ per mole of atoms: -77.3

(8)
## ScRuBr (GGA-PBE)

Data for crystalline ScRuBr at its relaxed geometry.

Geometry as CIF:
```
data_ScRuBr
_chemical_formula_sum 'Sc1 Ru1 Br1'
_space_group_name_H-M_alt 'P 1'
_space_group_IT_number 1
_space_group_name_Hall 'P 1'
_cell_length_a 4.470
_cell_length_b 4.470
_cell_length_c 4.470
_cell_angle_alpha 60.00
_cell_angle_beta 60.00
_cell_angle_gamma 60.00
loop_
_atom_site_label
_atom_site_type_symbol
_atom_site_fract_x
_atom_site_fract_y
_atom_site_fract_z
Br1 Br 0.000 0.000 0.000
Ru1 Ru 0.500 0.500 0.500
Sc1 Sc 0.750 0.750 0.750
```

Space-group type: F-43m, No. 216
Offset from the most stable computed form in eV per atom: 0.586
VASP energy in eV/atom: -5.43
Raw formation energy in kJ per mole of atoms: 31.4

(9)
## ScRuBr (GGA-PBE)

Data for crystalline ScRuBr at its relaxed geometry.

Geometry as CIF:
```
data_ScRuBr
_chemical_formula_sum 'Sc1 Ru1 Br1'
_space_group_name_H-M_alt 'P 1'
_space_group_IT_number 1
_space_group_name_Hall 'P 1'
_cell_length_a 4.354
_cell_length_b 4.354
_cell_length_c 4.354
_cell_angle_alpha 60.00
_cell_angle_beta 60.00
_cell_angle_gamma 60.00
loop_
_atom_site_label
_atom_site_type_symbol
_atom_site_fract_x
_atom_site_fract_y
_atom_site_fract_z
Ru1 Ru 0.750 0.750 0.750
Sc1 Sc 0.000 0.000 0.000
Br1 Br 0.500 0.500 0.500
```

Space-group type: F-43m, No. 216
Offset from the most stable computed form in eV per atom: 0.214
VASP energy in eV/atom: -5.81
Raw formation energy in kJ per mole of atoms: -4.5

(10)
## Sc2RuBr (GGA-PBE)

Data for crystalline Sc2RuBr at its relaxed geometry.

Geometry as CIF:
```
data_Sc2RuBr
_chemical_formula_sum 'Sc4 Ru2 Br2'
_space_group_name_H-M_alt 'P 1'
_space_group_IT_number 1
_space_group_name_Hall 'P 1'
_cell_length_a 6.132
_cell_length_b 6.132
_cell_length_c 7.296
_cell_angle_alpha 65.15
_cell_angle_beta 65.15
_cell_angle_gamma 90.00
loop_
_atom_site_label
_atom_site_type_symbol
_atom_site_fract_x
_atom_site_fract_y
_atom_site_fract_z
Sc1 Sc 0.073 0.625 0.250
Sc2 Sc 0.677 0.125 0.250
Ru1 Ru 0.750 0.250 0.500
Sc3 Sc 0.375 0.323 0.750
Br1 Br 0.250 0.750 0.500
Br2 Br 0.500 0.500 0.000
Ru2 Ru 0.000 0.000 0.000
Sc4 Sc 0.875 0.927 0.750
```

Space-group type: I-42d, No. 122
Offset from the most stable computed form in eV per atom: 0.641
VASP energy in eV/atom: -6.06
Raw formation energy in kJ per mole of atoms: -15.4

(11)
## Sc2RuBr (GGA-PBE)

Data for crystalline Sc2RuBr at its relaxed geometry.

Geometry as CIF:
```
data_Sc2RuBr
_chemical_formula_sum 'Sc2 Ru1 Br1'
_space_group_name_H-M_alt 'P 1'
_space_group_IT_number 1
_space_group_name_Hall 'P 1'
_cell_length_a 9.677
_cell_length_b 9.677
_cell_length_c 9.677
_cell_angle_alpha 19.55
_cell_angle_beta 19.55
_cell_angle_gamma 19.55
loop_
_atom_site_label
_atom_site_type_symbol
_atom_site_fract_x
_atom_site_fract_y
_atom_site_fract_z
Ru1 Ru 0.738 0.738 0.738
Br1 Br 0.509 0.509 0.509
Sc1 Sc 0.010 0.010 0.010
Sc2 Sc 0.243 0.243 0.243
```

Space-group type: R3m, No. 160
Offset from the most stable computed form in eV per atom: 0.648
VASP energy in eV/atom: -6.06
Raw formation energy in kJ per mole of atoms: -14.8

(12)
## ScRuBr (GGA-PBE)

Data for crystalline ScRuBr at its relaxed geometry.

Geometry as CIF:
```
data_ScRuBr
_chemical_formula_sum 'Sc1 Ru1 Br1'
_space_group_name_H-M_alt 'P 1'
_space_group_IT_number 1
_space_group_name_Hall 'P 1'
_cell_length_a 6.006
_cell_length_b 6.006
_cell_length_c 6.006
_cell_angle_alpha 149.13
_cell_angle_beta 149.13
_cell_angle_gamma 44.22
loop_
_atom_site_label
_atom_site_type_symbol
_atom_site_fract_x
_atom_site_fract_y
_atom_site_fract_z
Ru1 Ru 0.318 0.318 0.000
Sc1 Sc 0.679 0.679 0.000
Br1 Br 0.003 0.003 0.000
```

Space-group type: I4mm, No. 107
Offset from the most stable computed form in eV per atom: 0.105
VASP energy in eV/atom: -5.92
Raw formation energy in kJ per mole of atoms: -15.0

(13)
## ScRuBr (GGA-PBE)

Data for crystalline ScRuBr at its relaxed geometry.

Geometry as CIF:
```
data_ScRuBr
_chemical_formula_sum 'Sc1 Ru1 Br1'
_space_group_name_H-M_alt 'P 1'
_space_group_IT_number 1
_space_group_name_Hall 'P 1'
_cell_length_a 4.322
_cell_length_b 4.322
_cell_length_c 3.294
_cell_angle_alpha 90.00
_cell_angle_beta 90.00
_cell_angle_gamma 120.00
loop_
_atom_site_label
_atom_site_type_symbol
_atom_site_fract_x
_atom_site_fract_y
_atom_site_fract_z
Sc1 Sc 0.333 0.667 0.657
Br1 Br 0.000 0.000 0.137
Ru1 Ru 0.667 0.333 0.206
```

Space-group type: P3m1, No. 156
Offset from the most stable computed form in eV per atom: 0.105
VASP energy in eV/atom: -5.92
Raw formation energy in kJ per mole of atoms: -15.0